a | A relaxed structure of Ba2Sr8Mg, computed with GGA-PBE.

The structure belongs to space group C2/m (No. 12); the cell edges are 20.7411, 6.1720 and 9.6823 Å and the angles 90.00°, 109.80° and 90.00°. Symmetry generates all atoms from Ba at (0.1230, 0.0000, 0.1583), Sr at (0.0463, 0.0000, 0.7172), Sr at (0.0848, 0.5000, 0.4300), Sr at (0.1759, 0.5000, 0.9041), Sr at (0.2243, 0.0000, 0.6316) and Mg at (0.0000, 0.5000, 0.0000).

The calculated volume is 53.01 Å³ per atom. The calculation puts the magnetic moment at 0.0 μB per formula unit.

b | A relaxed structure of Ba2Sr8Mg, computed with GGA-PBE.

The structure belongs to space group P4/mmm (No. 123); the cell edges are 6.0529, 6.0529 and 16.5458 Å and the angles 90.00°, 90.00° and 90.00°. Symmetry generates all atoms from Ba at (0.0000, 0.0000, 0.1906), Sr at (0.0000, 0.5000, 0.0000), Sr at (0.0000, 0.5000, 0.3776), Sr at (0.5000, 0.5000, 0.1865) and Mg at (0.0000, 0.0000, 0.5000).

The calculated volume is 55.11 Å³ per atom. The calculation puts the magnetic moment at 0.0 μB per formula unit.

Most stable pick: a. Distance to second place: 0.019 eV/atom.

a | A relaxed structure of Ba6Sr3Mg, computed with GGA-PBE.

The structure belongs to space group P-31m (No. 162); the cell edges are 7.8334, 7.8334 and 11.1211 Å and the angles 90.00°, 90.00° and 120.00°. Symmetry generates all atoms from Ba at (0.0000, 0.3628, 0.3202), Sr at (0.0000, 0.0000, 0.0000), Sr at (0.3333, 0.6667, 0.0000) and Mg at (0.0000, 0.0000, 0.5000).

The calculated volume is 59.10 Å³ per atom. The calculation puts the magnetic moment at 0.7 μB per formula unit.

b | A relaxed structure of Ba6Sr3Mg, computed with GGA-PBE.

The structure belongs to space group P2_1/m (No. 11); the cell edges are 12.4453, 6.5197 and 14.0299 Å and the angles 90.00°, 98.81° and 90.00°. Symmetry generates all atoms from Ba at (0.0494, 0.2500, 0.3821), Ba at (0.1234, 0.7500, 0.1643), Ba at (0.1425, 0.2500, 0.6857), Ba at (0.2075, 0.2500, 0.9860), Ba at (0.3247, 0.7500, 0.7989), Ba at (0.4438, 0.2500, 0.5954), Sr at (0.2410, 0.7500, 0.4829), Sr at (0.3531, 0.2500, 0.2841), Sr at (0.4569, 0.7500, 0.0976) and Mg at (0.0512, 0.7500, 0.8805).

The calculated volume is 56.25 Å³ per atom. The calculation puts the magnetic moment at 0.0 μB per formula unit.

Most stable pick: b. Distance to second place: 0.072 eV/atom.

a | A relaxed structure of Ba6Sr2Mg, computed with GGA-PBE.

The structure belongs to space group Immm (No. 71); the cell edges are 7.1247, 11.7269 and 12.2730 Å and the angles 90.00°, 90.00° and 90.00°. Symmetry generates all atoms from Ba at (0.0000, 0.1692, 0.0000), Ba at (0.0000, 0.1891, 0.3386), Sr at (0.0000, 0.5000, 0.1778) and Mg at (0.0000, 0.5000, 0.5000).

The calculated volume is 56.97 Å³ per atom. The calculation puts the magnetic moment at 0.0 μB per formula unit.

b | A relaxed structure of Ba6Sr2Mg, computed with GGA-PBE.

The structure belongs to space group C2/m (No. 12); the cell edges are 10.8256, 21.2803 and 4.4527 Å and the angles 90.00°, 99.65° and 90.00°. Symmetry generates all atoms from Ba at (0.1654, 0.1727, 0.3072), Ba at (0.1973, 0.0000, 0.8403), Sr at (0.0000, 0.3600, 0.0000) and Mg at (0.0000, 0.5000, 0.5000).

The calculated volume is 56.18 Å³ per atom. The calculation puts the magnetic moment at 0.0 μB per formula unit.

Most stable pick: b. Distance to second place: 0.058 eV/atom.

a | A relaxed structure of BaSrMg3, computed with GGA-PBE.

The structure belongs to space group Pm-3m (No. 221); the cell edges are 6.1639, 6.1639 and 6.1639 Å and the angles 90.00°, 90.00° and 90.00°. Symmetry generates all atoms from Ba at (0.0000, 0.0000, 0.0000), Sr at (0.5000, 0.5000, 0.5000) and Mg at (0.0000, 0.5000, 0.5000).

The calculated volume is 46.84 Å³ per atom. The calculation puts the magnetic moment at 0.0 μB per formula unit.

b | A relaxed structure of BaSrMg3, computed with GGA-PBE.

The structure belongs to space group Pm-3m (No. 221); the cell edges are 6.1757, 6.1757 and 6.1757 Å and the angles 90.00°, 90.00° and 90.00°. Symmetry generates all atoms from Ba at (0.0000, 0.0000, 0.0000), Sr at (0.5000, 0.5000, 0.5000) and Mg at (0.0000, 0.0000, 0.5000).

The calculated volume is 47.11 Å³ per atom. The calculation puts the magnetic moment at 0.0 μB per formula unit.

Most stable pick: a. Distance to second place: 0.129 eV/atom.

a | A relaxed structure of BaSrMg2Zn, computed with GGA-PBE.

The structure belongs to space group P4/mmm (No. 123); the cell edges are 5.4607, 5.4607 and 6.0367 Å and the angles 90.00°, 90.00° and 90.00°. Symmetry generates all atoms from Ba at (0.0000, 0.0000, 0.0000), Sr at (0.5000, 0.5000, 0.0000), Mg at (0.0000, 0.5000, 0.5000) and Zn at (0.0000, 0.0000, 0.5000).

The calculated volume is 36.00 Å³ per atom. The calculation puts the magnetic moment at 0.0 μB per formula unit.

b | A relaxed structure of BaSrMg2Zn, computed with GGA-PBE.

The structure belongs to space group P4/mmm (No. 123); the cell edges are 6.1955, 6.1955 and 5.7746 Å and the angles 90.00°, 90.00° and 90.00°. Symmetry generates all atoms from Ba at (0.0000, 0.0000, 0.0000), Sr at (0.5000, 0.5000, 0.5000), Mg at (0.0000, 0.5000, 0.5000) and Zn at (0.5000, 0.5000, 0.0000).

The calculated volume is 44.33 Å³ per atom. The calculation puts the magnetic moment at 0.0 μB per formula unit.

c | A relaxed structure of BaSrMg2Zn, computed with GGA-PBE.

The structure belongs to space group P4/mmm (No. 123); the cell edges are 5.3995, 5.3995 and 5.9711 Å and the angles 90.00°, 90.00° and 90.00°. Symmetry generates all atoms from Ba at (0.0000, 0.0000, 0.0000), Sr at (0.5000, 0.5000, 0.0000), Mg at (0.0000, 0.5000, 0.5000) and Zn at (0.5000, 0.5000, 0.5000).

The calculated volume is 34.82 Å³ per atom. The calculation puts the magnetic moment at 0.0 μB per formula unit.

Most stable pick: c. Distance to second place: 0.059 eV/atom.

a | A relaxed structure of BaSr2MgZn, computed with GGA-PBE.

The structure belongs to space group P4/mmm (No. 123); the cell edges are 6.2259, 6.2259 and 5.4347 Å and the angles 90.00°, 90.00° and 90.00°. Symmetry generates all atoms from Ba at (0.0000, 0.0000, 0.0000), Sr at (0.0000, 0.5000, 0.5000), Mg at (0.5000, 0.5000, 0.0000) and Zn at (0.5000, 0.5000, 0.5000).

The calculated volume is 42.13 Å³ per atom. The calculation puts the magnetic moment at 0.0 μB per formula unit.

b | A relaxed structure of BaSr2MgZn, computed with GGA-PBE.

The structure belongs to space group P4/mmm (No. 123); the cell edges are 6.1867, 6.1867 and 6.2507 Å and the angles 90.00°, 90.00° and 90.00°. Symmetry generates all atoms from Ba at (0.0000, 0.0000, 0.0000), Sr at (0.0000, 0.5000, 0.5000), Mg at (0.5000, 0.5000, 0.0000) and Zn at (0.0000, 0.0000, 0.5000).

The calculated volume is 47.85 Å³ per atom. The calculation puts the magnetic moment at 0.0 μB per formula unit.

Most stable pick: a. Distance to second place: 0.097 eV/atom.

a | A relaxed structure of BaMg2Ta, computed with GGA-PBE.

The structure belongs to space group P4mm (No. 99); the cell edges are 3.2087, 3.2087 and 9.9957 Å and the angles 90.00°, 90.00° and 90.00°. Symmetry generates all atoms from Ba at (0.0000, 0.0000, 0.0000), Mg at (0.0000, 0.0000, 0.5193), Mg at (0.5000, 0.5000, 0.3021) and Ta at (0.5000, 0.5000, 0.7116).

The calculated volume is 25.73 Å³ per atom. The calculation puts the magnetic moment at 0.0 μB per formula unit.

b | A relaxed structure of BaMg2Ta, computed with GGA-PBE.

The structure belongs to space group R-3m (No. 166, hexagonal axes); the cell edges are 3.2006, 3.2006 and 34.3629 Å and the angles 90.00°, 90.00° and 120.00°. Symmetry generates all atoms from Ba at (0.0000, 0.0000, 0.0000), Mg at (0.0000, 0.0000, 0.2383) and Ta at (0.0000, 0.0000, 0.5000).

The calculated volume is 25.40 Å³ per atom. The calculation puts the magnetic moment at 0.5 μB per formula unit.

Most stable pick: a. Distance to second place: 0.054 eV/atom.

a | A relaxed structure of BaMgTa, computed with GGA-PBE.

The structure belongs to space group F-43m (No. 216); the cell edges are 7.5837, 7.5837 and 7.5837 Å and the angles 90.00°, 90.00° and 90.00°. Symmetry generates all atoms from Ba at (0.0000, 0.0000, 0.0000), Mg at (0.2500, 0.2500, 0.7500) and Ta at (0.2500, 0.2500, 0.2500).

The calculated volume is 36.35 Å³ per atom. The calculation puts the magnetic moment at 2.7 μB per formula unit.

b | A relaxed structure of BaMgTa, computed with GGA-PBE.

The structure belongs to space group Imm2 (No. 44); the cell edges are 3.1812, 4.4691 and 11.9510 Å and the angles 90.00°, 90.00° and 90.00°. Symmetry generates all atoms from Ba at (0.0000, 0.0000, 0.0000), Mg at (0.0000, 0.0000, 0.7027) and Ta at (0.0000, 0.0000, 0.2966).

The calculated volume is 28.32 Å³ per atom. The calculation puts the magnetic moment at 0.6 μB per formula unit.

Most stable pick: b. Distance to second place: 0.992 eV/atom.

a | A relaxed structure of BaMgTa, computed with GGA-PBE.

The structure belongs to space group I4mm (No. 107); the cell edges are 3.1826, 3.1826 and 15.8419 Å and the angles 90.00°, 90.00° and 90.00°. Symmetry generates all atoms from Ba at (0.0000, 0.0000, 0.0000), Mg at (0.0000, 0.0000, 0.3046) and Ta at (0.0000, 0.0000, 0.6808).

The calculated volume is 26.74 Å³ per atom. The calculation puts the magnetic moment at 0.0 μB per formula unit.

b | A relaxed structure of BaMgTa, computed with GGA-PBE.

The structure belongs to space group P3m1 (No. 156); the cell edges are 3.2459, 3.2459 and 8.6700 Å and the angles 90.00°, 90.00° and 120.00°. Symmetry generates all atoms from Ba at (0.0000, 0.0000, 0.0000), Mg at (0.6667, 0.3333, 0.3835) and Ta at (0.3333, 0.6667, 0.6577).

The calculated volume is 26.37 Å³ per atom. The calculation puts the magnetic moment at 0.0 μB per formula unit.

Most stable pick: a. Distance to second place: 0.116 eV/atom.

a | A relaxed structure of BaMg3Ta, computed with GGA-PBE.

The structure belongs to space group Pm-3m (No. 221); the cell edges are 5.5400, 5.5400 and 5.5400 Å and the angles 90.00°, 90.00° and 90.00°. Symmetry generates all atoms from Ba at (0.0000, 0.0000, 0.0000), Mg at (0.0000, 0.5000, 0.5000) and Ta at (0.5000, 0.5000, 0.5000).

The calculated volume is 34.01 Å³ per atom. The calculation puts the magnetic moment at 3.3 μB per formula unit.

b | A relaxed structure of BaMg3Ta, computed with GGA-PBE.

The structure belongs to space group Pm-3m (No. 221); the cell edges are 5.4853, 5.4853 and 5.4853 Å and the angles 90.00°, 90.00° and 90.00°. Symmetry generates all atoms from Ba at (0.0000, 0.0000, 0.0000), Mg at (0.0000, 0.0000, 0.5000) and Ta at (0.5000, 0.5000, 0.5000).

The calculated volume is 33.01 Å³ per atom. The calculation puts the magnetic moment at 0.0 μB per formula unit.

Most stable pick: a. Distance to second place: 1.410 eV/atom.

a | A relaxed structure of Ba2MgTa2, computed with GGA-PBE.

The structure belongs to space group I4/mmm (No. 139); the cell edges are 3.7893, 3.7893 and 23.8747 Å and the angles 90.00°, 90.00° and 90.00°. Symmetry generates all atoms from Ba at (0.0000, 0.0000, 0.1158), Mg at (0.0000, 0.0000, 0.5000) and Ta at (0.0000, 0.5000, 0.2500).

The calculated volume is 34.28 Å³ per atom. The calculation puts the magnetic moment at 0.0 μB per formula unit.

b | A relaxed structure of Ba2MgTa2, computed with GGA-PBE.

The structure belongs to space group P4/mbm (No. 127); the cell edges are 10.1388, 10.1388 and 3.2032 Å and the angles 90.00°, 90.00° and 90.00°. Symmetry generates all atoms from Ba at (0.2035, 0.2965, 0.0000), Mg at (0.0000, 0.0000, 0.0000) and Ta at (0.0860, 0.5860, 0.5000).

The calculated volume is 32.93 Å³ per atom. The calculation puts the magnetic moment at 0.0 μB per formula unit.

Most stable pick: a. Distance to second place: 0.421 eV/atom.

a | A relaxed structure of BaTbMg, computed with GGA-PBE.

The structure belongs to space group I4/mmm (No. 139); the cell edges are 3.9091, 3.9091 and 29.9138 Å and the angles 90.00°, 90.00° and 90.00°. Symmetry generates all atoms from Ba at (0.0000, 0.0000, 0.0686), Tb at (0.0000, 0.0000, 0.2140) and Mg at (0.0000, 0.0000, 0.3469).

The calculated volume is 38.09 Å³ per atom. The calculation puts the magnetic moment at 0.0 μB per formula unit.

b | A relaxed structure of BaTbMg, computed with GGA-PBE.

The structure belongs to space group I4mm (No. 107); the cell edges are 4.0174, 4.0174 and 13.8629 Å and the angles 90.00°, 90.00° and 90.00°. Symmetry generates all atoms from Ba at (0.0000, 0.0000, 0.0000), Tb at (0.0000, 0.0000, 0.2903) and Mg at (0.0000, 0.0000, 0.6741).

The calculated volume is 37.29 Å³ per atom. The calculation puts the magnetic moment at 0.0 μB per formula unit.

Most stable pick: a. Distance to second place: 0.051 eV/atom.